Compound: NiTePb2
Source: the Alexandria database
Functional: PBE
Structure: relaxed

Unit cell a=6.0604 b=6.0604 c=6.0604 alpha=136.30 beta=136.30 gamma=63.52
With the nearest neighbours (Å) after each atom.
Positions (direct):
1 Ni 0.7500 0.2500 0.5000  8 Pb 3.19-3.42, 4 Te 3.42
2 Pb 0.0000 0.0000 0.0000  4 Te 3.19, 4 Pb 3.42, 4 Ni 3.42
3 Pb 0.2500 0.7500 0.5000  4 Ni 3.19, 4 Pb 3.42, 4 Te 3.42
4 Te 0.5000 0.5000 0.0000  8 Pb 3.19-3.42, 4 Ni 3.42

Properties
Formation energy without anion corrections, meV/atom: 350

Compound: NiTePb
Source: the Alexandria database
Functional: PBE
Structure: relaxed

Unit cell a=4.6712 b=4.6712 c=4.6712 alpha=60.00 beta=60.00 gamma=60.00
With the nearest neighbours (Å) after each atom.
Positions (direct):
1 Ni 0.7500 0.7500 0.7500  4 Te 2.86, 4 Pb 2.86
2 Pb 0.0000 0.0000 0.0000  4 Ni 2.86
3 Te 0.5000 0.5000 0.5000  4 Ni 2.86

Properties
Formation energy without anion corrections, meV/atom: -31
Offset from the most stable computed form, meV per atom: 101

Compound: NiTePb2
Source: the Alexandria database
Functional: PBE
Structure: relaxed

Unit cell a=3.2829 b=3.2824 c=9.5397 alpha=90.00 beta=90.00 gamma=90.00
With the nearest neighbours (Å) after each atom.
Positions (direct):
1 Ni 0.5000 0.5000 0.7500  8 Pb 2.89
2 Pb 0.0000 0.0000 0.9308  4 Ni 2.89
3 Pb 0.0000 0.0000 0.5692  4 Ni 2.89
4 Te 0.5000 0.5000 0.2500  4 Te 3.28

Properties
Formation energy without anion corrections, meV/atom: 129

Compound: NiTe2Pb
Source: the Alexandria database
Functional: PBE
Structure: relaxed

Unit cell a=5.2069 b=5.2065 c=5.2074 alpha=71.07 beta=69.42 gamma=108.92
With the nearest neighbours (Å) after each atom.
Positions (direct):
1 Ni 0.0000 0.5000 0.5000  2 Pb 2.97, 4 Te 3.03
2 Pb 0.5000 0.5000 0.0000  2 Ni 2.97, 4 Te 3.03
3 Te 0.0000 0.0000 0.0000  2 Te 2.97, 2 Pb 3.03, 2 Ni 3.03
4 Te 0.5000 0.0000 0.5000  2 Te 2.97, 2 Ni 3.03, 2 Pb 3.03

Properties
Formation energy without anion corrections, meV/atom: 246